Entry 1:
Compound: La2YCd
Source: the Alexandria database
Functional: PBE-GGA
Structure: relaxed

Properties
energy relative to the elements	-0.118	eV/atom

abc: 6.9720 6.9720 6.9720
angles: 147.36 134.25 57.33
With the nearest neighbours (Å) after each atom.
Sites, in units of the cell vectors:
La  0.2166  0.2166  0.0000  2 Cd 3.30, 4 La 3.44
La  0.7834  0.7834  0.0000  2 Cd 3.30, 4 La 3.44
Y  0.5000  0.0000  0.5000  4 Cd 3.34
Cd  0.0000  0.5000  0.5000  4 La 3.30, 4 Y 3.34


Entry 2:
Compound: TiBeC2F
Source: the Alexandria database
Functional: PBE-GGA
Structure: relaxed

Properties
formation energy from raw total energies	0.772	eV per atom

abc: 4.0400 4.0400 3.8240
angles: 90.00 90.00 90.00
With the nearest neighbours (Å) after each atom.
Sites, in units of the cell vectors:
Ti  0.0000  0.0000  0.0000  2 F 1.91, 4 C 2.02
Be  0.5000  0.5000  0.5000  8 C 2.78, 4 F 2.86
C  0.0000  0.5000  0.0000  2 Ti 2.02
C  0.5000  0.0000  0.0000  2 Ti 2.02
F  0.0000  0.0000  0.5000  2 Ti 1.91


Entry 3:
Compound: CaZr2NbNi
Source: the Alexandria database
Functional: PBE-GGA
Structure: relaxed

Properties
energy relative to the elements	1.191	eV/atom

abc: 5.0066 5.0066 5.5936
angles: 90.00 90.00 90.00
With the nearest neighbours (Å) after each atom.
Sites, in units of the cell vectors:
Ca  0.0000  0.0000  0.0000  2 Nb 2.80
Zr  0.0000  0.5000  0.5000  2 Nb 2.50
Zr  0.5000  0.0000  0.5000  2 Nb 2.50
Nb  0.0000  0.0000  0.5000  4 Zr 2.50, 2 Ca 2.80
Ni  0.5000  0.5000  0.0000  4 Ca 3.54, 8 Zr 3.75


Entry 4:
Compound: CdInAgHg
Source: the Alexandria database
Functional: PBE-GGA
Structure: relaxed

Properties
energy relative to the elements	0.078	eV/atom
energy above the most stable polymorph in this dataset	0.057	eV/atom

abc: 5.0565 5.0565 5.0565
angles: 60.00 60.00 60.00
With the nearest neighbours (Å) after each atom.
Sites, in units of the cell vectors:
Cd  0.0000  0.0000  0.0000  4 Hg 3.10, 4 Ag 3.10
In  0.5000  0.5000  0.5000  4 Hg 3.10, 4 Ag 3.10
Ag  0.7500  0.7500  0.7500  4 Cd 3.10, 4 In 3.10
Hg  0.2500  0.2500  0.2500  4 Cd 3.10, 4 In 3.10


Entry 5:
Compound: Sr3TbHo2Se6
Source: the Alexandria database
Functional: PBE-GGA
Structure: relaxed

Properties
formation energy from raw total energies	-1.877	eV per atom

abc: 7.2716 7.2716 7.4494
angles: 99.39 99.39 119.94
With the nearest neighbours (Å) after each atom.
Sites, in units of the cell vectors:
Sr  0.0000  0.0000  0.0000  6 Se 3.07-3.09
Sr  0.3341  0.6659  0.0000  6 Se 3.07-3.09
Sr  0.6659  0.3341  0.0000  6 Se 3.07-3.09
Tb  0.5000  0.5000  0.5000  6 Se 2.93
Ho  0.1669  0.8331  0.5000  6 Se 2.91
Ho  0.8331  0.1669  0.5000  6 Se 2.91
Se  0.0878  0.4234  0.2702  2 Ho 2.91, 1 Tb 2.93, 3 Sr 3.07-3.09
Se  0.2407  0.2407  0.7293  2 Ho 2.91, 1 Tb 2.93, 3 Sr 3.07-3.08
Se  0.4234  0.0878  0.2702  2 Ho 2.91, 1 Tb 2.93, 3 Sr 3.07-3.09
Se  0.5766  0.9122  0.7298  2 Ho 2.91, 1 Tb 2.93, 3 Sr 3.07-3.09
Se  0.7593  0.7593  0.2707  2 Ho 2.91, 1 Tb 2.93, 3 Sr 3.07-3.08
Se  0.9122  0.5766  0.7298  2 Ho 2.91, 1 Tb 2.93, 3 Sr 3.07-3.09


Entry 6:
Compound: BaSrH2Se
Source: the Alexandria database
Functional: PBE-GGA
Structure: relaxed

Properties
E_tot	-3.88	eV per atom

abc: 7.0176 7.0176 8.3178
angles: 90.00 90.00 144.24
With the nearest neighbours (Å) after each atom.
Sites, in units of the cell vectors:
Ba  0.2375  0.7625  0.7500  6 H 2.76-2.86
Ba  0.7625  0.2375  0.2500  6 H 2.76-2.86
Sr  0.5000  0.5000  0.0000  2 H 2.45
Sr  0.5000  0.5000  0.5000  2 H 2.45
H  0.3215  0.6785  0.0662  1 Sr 2.45
H  0.3215  0.6785  0.4338  1 Sr 2.45
H  0.6785  0.3215  0.5662  1 Sr 2.45
H  0.6785  0.3215  0.9338  1 Sr 2.45
Se  0.0513  0.9487  0.2500  4 Sr 3.07
Se  0.9487  0.0513  0.7500  4 Sr 3.07


Entry 7:
Compound: ZnP2IO
Source: the Alexandria database
Functional: PBE-GGA
Structure: relaxed

Properties
formation energy from raw total energies	0.976	eV per atom
energy above the most stable polymorph in this dataset	0.399	eV/atom

abc: 5.2435 5.2435 3.9170
angles: 90.00 90.00 90.00
With the nearest neighbours (Å) after each atom.
Sites, in units of the cell vectors:
Zn  0.0000  0.0000  0.0000  8 P 3.27
P  0.0000  0.5000  0.5000  2 I 2.62
P  0.5000  0.0000  0.5000  2 I 2.62
I  0.5000  0.5000  0.5000  2 O 1.96
O  0.5000  0.5000  0.0000  2 I 1.96


Entry 8:
Compound: Pa2CuAu3
Source: the Alexandria database
Functional: PBE-GGA
Structure: relaxed

Properties
energy relative to the elements	-0.186	eV/atom

abc: 9.1361 9.1361 9.1361
angles: 159.66 150.80 35.85
With the nearest neighbours (Å) after each atom.
Sites, in units of the cell vectors:
Pa  0.0000  0.0000  0.0000  4 Cu 3.03, 6 Au 3.14-3.29, 2 Pa 3.23
Pa  0.7466  0.2466  0.5000  10 Au 3.12-3.30, 2 Pa 3.23
Cu  0.4350  0.4350  0.0000  3 Au 2.51-2.54
Au  0.1652  0.6652  0.5000  3 Au 2.73-2.77
Au  0.3247  0.8247  0.5000  2 Cu 2.51, 1 Au 2.77
Au  0.5809  0.5809  0.0000  1 Cu 2.54, 2 Au 2.73


| no. | ρ (Mg/m³) |
| --- | --- |
| 1 | 6.1 |
| 2 | 2.7 |
| 3 | 4.4 |
| 4 | 9.7 |
| 5 | 6.3 |
| 6 | 4.2 |
| 7 | 4.2 |
| 8 | 14.4 |